1.
CsSnB3 | GGA-PBE | relaxed

Cell: 4.819 4.819 4.819 Å, 90.00 90.00 90.00°
Atoms (fractional coordinates):
Cs: 0.000 0.000 0.000
Sn: 0.500 0.500 0.500
B: 0.000 0.500 0.500
B: 0.500 0.000 0.500
B: 0.500 0.500 0.000

Calculated values
calculated volume	111.9	Å³ per cell
energy above the most stable polymorph in this dataset	0.000	eV per atom
space-group type	Pm-3m, No. 221
calculated density	4214	kg/m³

=====

2.
Tb2SmLu | GGA-PBE | relaxed

Cell: 3.546 3.546 10.076 Å, 90.00 90.00 90.00°
Atoms (fractional coordinates):
Tb: 0.000 0.000 0.245
Tb: 0.000 0.000 0.755
Sm: 0.500 0.500 0.500
Lu: 0.500 0.500 0.000

Calculated values
calculated volume	126.7	Å³ per cell
energy above the most stable polymorph in this dataset	0.002	eV per atom
space-group type	P4/mmm, No. 123
calculated density	8429	kg/m³

=====

3.
K3NpBi2S6 | GGA-PBE | relaxed

Cell: 7.211 7.211 7.766 Å, 98.89 98.89 120.00°
Atoms (fractional coordinates):
K: 0.000 0.000 0.000
K: 0.331 0.669 0.000
K: 0.669 0.331 0.000
Np: 0.500 0.500 0.500
Bi: 0.166 0.834 0.500
Bi: 0.834 0.166 0.500
S: 0.104 0.431 0.292
S: 0.243 0.243 0.708
S: 0.431 0.104 0.292
S: 0.569 0.896 0.708
S: 0.757 0.757 0.292
S: 0.896 0.569 0.708

Calculated values
calculated volume	332.6	Å³ per cell
space-group type	C2/m, No. 12
E_form (uncorrected)	-989	meV per atom
calculated density	4817	kg/m³

=====

4.
Pm2Pr2GeRh4 | GGA-PBE | relaxed

Cell: 6.553 6.553 6.553 Å, 118.17 118.17 93.19°
Atoms (fractional coordinates):
Pm: 0.182 0.182 0.000
Pm: 0.818 0.818 0.000
Pr: 0.250 0.750 0.500
Pr: 0.750 0.250 0.500
Ge: 0.500 0.500 0.000
Rh: 0.245 0.245 0.490
Rh: 0.245 0.755 0.000
Rh: 0.755 0.245 0.000
Rh: 0.755 0.755 0.510

Calculated values
calculated total energy	-6.32	eV/atom
calculated volume	204.1	Å³ per cell
space-group type	I4/mmm, No. 139
calculated density	8591	kg/m³

=====

5.
Nd7Zn2Co2 | GGA-PBE | relaxed

Cell: 6.839 6.839 7.088 Å, 90.00 90.00 111.21°
Atoms (fractional coordinates):
Nd: 0.000 0.000 0.000
Nd: 0.000 0.500 0.255
Nd: 0.000 0.500 0.745
Nd: 0.500 0.000 0.255
Nd: 0.500 0.000 0.745
Nd: 0.500 0.500 0.247
Nd: 0.500 0.500 0.753
Zn: 0.163 0.163 0.500
Zn: 0.837 0.837 0.500
Co: 0.300 0.700 0.000
Co: 0.700 0.300 0.000

Calculated values
calculated total energy	-4.60	eV/atom
calculated volume	309.0	Å³ per cell
space-group type	Cmmm, No. 65
calculated density	6762	kg/m³

=====

6.
La4HoIn3 | GGA-PBE | relaxed

Cell: 11.455 7.124 6.052 Å, 90.00 90.00 90.00°
Atoms (fractional coordinates):
La: 0.000 0.244 0.000
La: 0.000 0.756 0.000
La: 0.250 0.236 0.363
La: 0.250 0.764 0.363
La: 0.500 0.244 0.000
La: 0.500 0.756 0.000
La: 0.750 0.236 0.637
La: 0.750 0.764 0.637
Ho: 0.000 0.500 0.500
Ho: 0.500 0.500 0.500
In: 0.000 0.000 0.500
In: 0.250 0.000 0.854
In: 0.250 0.500 0.842
In: 0.500 0.000 0.500
In: 0.750 0.000 0.146
In: 0.750 0.500 0.158

Calculated values
calculated total energy	-4.40	eV/atom
calculated volume	493.9	Å³ per cell
space-group type	Pmma, No. 51
calculated density	7162	kg/m³

=====

7.
AcNd2Pt | GGA-PBE | relaxed

Cell: 3.718 3.718 9.234 Å, 90.00 90.00 90.00°
Atoms (fractional coordinates):
Ac: 0.000 0.000 0.000
Nd: 0.500 0.500 0.320
Nd: 0.500 0.500 0.680
Pt: 0.000 0.000 0.500

Calculated values
calculated volume	127.7	Å³ per cell
energy above the most stable polymorph in this dataset	0.122	eV per atom
space-group type	P4/mmm, No. 123
calculated density	9242	kg/m³

=====

8.
Pm6TlIn3 | GGA-PBE | relaxed

Cell: 9.759 5.376 11.802 Å, 90.00 106.03 90.00°
Atoms (fractional coordinates):
Pm: 0.045 0.250 0.412
Pm: 0.159 0.750 0.180
Pm: 0.252 0.250 0.996
Pm: 0.333 0.750 0.802
Pm: 0.376 0.250 0.341
Pm: 0.402 0.250 0.618
Pm: 0.598 0.750 0.382
Pm: 0.624 0.750 0.659
Pm: 0.667 0.250 0.198
Pm: 0.748 0.750 0.004
Pm: 0.841 0.250 0.820
Pm: 0.955 0.750 0.588
Tl: 0.453 0.750 0.105
Tl: 0.547 0.250 0.895
In: 0.031 0.750 0.884
In: 0.118 0.250 0.711
In: 0.274 0.750 0.474
In: 0.726 0.250 0.526
In: 0.882 0.750 0.289
In: 0.969 0.250 0.116

Calculated values
calculated volume	595.2	Å³ per cell
energy above the most stable polymorph in this dataset	0.000	eV per atom
space-group type	P2_1/m, No. 11
calculated density	7917	kg/m³

=====

9.
Tb3Dy3Y2 | GGA-PBE | relaxed

Cell: 5.029 5.030 20.126 Å, 90.00 90.00 90.00°
Atoms (fractional coordinates):
Tb: 0.000 0.000 0.000
Tb: 0.000 0.500 0.124
Tb: 0.000 0.500 0.876
Tb: 0.500 0.000 0.376
Tb: 0.500 0.000 0.624
Tb: 0.500 0.500 0.500
Dy: 0.000 0.000 0.500
Dy: 0.000 0.500 0.376
Dy: 0.000 0.500 0.624
Dy: 0.500 0.000 0.124
Dy: 0.500 0.000 0.876
Dy: 0.500 0.500 0.000
Y: 0.000 0.000 0.250
Y: 0.000 0.000 0.750
Y: 0.500 0.500 0.250
Y: 0.500 0.500 0.750

Calculated values
calculated volume	509.1	Å³ per cell
energy above the most stable polymorph in this dataset	0.015	eV per atom
space-group type	Immm, No. 71
calculated density	7451	kg/m³

=====

10.
Ti2Hg2Os | GGA-PBE | relaxed

Cell: 6.476 6.476 4.607 Å, 90.00 90.00 90.00°
Atoms (fractional coordinates):
Ti: 0.151 0.349 0.000
Ti: 0.349 0.849 0.000
Ti: 0.651 0.151 0.000
Ti: 0.849 0.651 0.000
Hg: 0.160 0.660 0.500
Hg: 0.340 0.160 0.500
Hg: 0.660 0.840 0.500
Hg: 0.840 0.340 0.500
Os: 0.000 0.000 0.000
Os: 0.500 0.500 0.000

Calculated values
calculated volume	193.2	Å³ per cell
energy above the most stable polymorph in this dataset	0.000	eV per atom
space-group type	P4/mbm, No. 127
calculated density	11813	kg/m³

=====

11.
BaSr2Si2 | GGA-PBE | relaxed

Cell: 5.747 5.747 11.475 Å, 90.00 90.00 90.00°
Atoms (fractional coordinates):
Ba: 0.000 0.000 0.000
Ba: 0.500 0.500 0.500
Sr: 0.000 0.000 0.336
Sr: 0.000 0.000 0.664
Sr: 0.500 0.500 0.164
Sr: 0.500 0.500 0.836
Si: 0.000 0.500 0.250
Si: 0.000 0.500 0.750
Si: 0.500 0.000 0.250
Si: 0.500 0.000 0.750

Calculated values
calculated volume	379.0	Å³ per cell
energy above the most stable polymorph in this dataset	0.320	eV per atom
space-group type	I4/mmm, No. 139
E_form (uncorrected)	33	meV per atom
calculated density	3231	kg/m³

=====

12.
Pu2HgBi | GGA-PBE | relaxed

Cell: 3.653 3.653 8.294 Å, 90.00 90.00 90.00°
Atoms (fractional coordinates):
Pu: 0.000 0.000 0.245
Pu: 0.000 0.000 0.755
Hg: 0.500 0.500 0.000
Bi: 0.500 0.500 0.500

Calculated values
calculated volume	110.7	Å³ per cell
energy above the most stable polymorph in this dataset	0.069	eV per atom
space-group type	P4/mmm, No. 123
calculated density	13464	kg/m³

=====

13.
LiHoZn4 | GGA-PBE | relaxed

Cell: 8.374 8.374 4.360 Å, 90.00 90.00 135.05°
Atoms (fractional coordinates):
Li: 0.140 0.860 0.750
Li: 0.860 0.140 0.250
Ho: 0.388 0.612 0.250
Ho: 0.612 0.388 0.750
Zn: 0.028 0.445 0.750
Zn: 0.164 0.252 0.750
Zn: 0.252 0.164 0.250
Zn: 0.445 0.028 0.250
Zn: 0.555 0.972 0.750
Zn: 0.748 0.836 0.750
Zn: 0.836 0.748 0.250
Zn: 0.972 0.555 0.250

Calculated values
calculated volume	216.0	Å³ per cell
energy above the most stable polymorph in this dataset	0.033	eV per atom
space-group type	Cmcm, No. 63
calculated density	6665	kg/m³

=====

14.
LaMoRu | GGA-PBE | relaxed

Cell: 6.292 6.292 6.292 Å, 90.00 90.00 90.00°
Atoms (fractional coordinates):
La: 0.000 0.000 0.000
La: 0.000 0.500 0.500
La: 0.500 0.000 0.500
La: 0.500 0.500 0.000
Mo: 0.250 0.250 0.750
Mo: 0.250 0.750 0.250
Mo: 0.750 0.250 0.250
Mo: 0.750 0.750 0.750
Ru: 0.250 0.250 0.250
Ru: 0.250 0.750 0.750
Ru: 0.750 0.250 0.750
Ru: 0.750 0.750 0.250

Calculated values
calculated volume	249.1	Å³ per cell
energy above the most stable polymorph in this dataset	1.201	eV per atom
space-group type	F-43m, No. 216
calculated density	8958	kg/m³

=====

15.
TaAsAu2Cl | GGA-PBE | relaxed

Cell: 5.228 5.228 4.988 Å, 90.00 90.00 90.00°
Atoms (fractional coordinates):
Ta: 0.000 0.000 0.000
As: 0.000 0.000 0.500
Au: 0.000 0.500 0.000
Au: 0.500 0.000 0.000
Cl: 0.500 0.500 0.500

Calculated values
calculated volume	136.3	Å³ per cell
space-group type	P4/mmm, No. 123
E_form (uncorrected)	771	meV per atom
calculated density	8346	kg/m³

=====

16.
Ca2SeCl2 | GGA-PBE | relaxed

Cell: 4.333 4.333 13.873 Å, 90.00 90.00 90.00°
Atoms (fractional coordinates):
Ca: 0.000 0.000 0.127
Ca: 0.000 0.000 0.873
Ca: 0.500 0.500 0.373
Ca: 0.500 0.500 0.627
Se: 0.000 0.000 0.500
Se: 0.500 0.500 0.000
Cl: 0.000 0.500 0.250
Cl: 0.000 0.500 0.750
Cl: 0.500 0.000 0.250
Cl: 0.500 0.000 0.750

Calculated values
calculated volume	260.4	Å³ per cell
space-group type	I4/mmm, No. 139
E_form (uncorrected)	-1867	meV per atom
calculated density	2933	kg/m³

=====

17.
Ba2ScCo | GGA-PBE | relaxed

Cell: 13.246 3.750 6.222 Å, 90.00 117.99 90.00°
Atoms (fractional coordinates):
Ba: 0.000 0.000 0.000
Ba: 0.178 0.000 0.678
Ba: 0.500 0.500 0.000
Ba: 0.678 0.500 0.678
Sc: 0.331 0.500 0.331
Sc: 0.831 0.000 0.331
Co: 0.459 0.000 0.460
Co: 0.959 0.500 0.460

Calculated values
calculated volume	272.9	Å³ per cell
energy above the most stable polymorph in this dataset	0.091	eV per atom
space-group type	Cm, No. 8
calculated density	4606	kg/m³

=====

18.
Zn9CuRh2 | GGA-PBE | relaxed

Cell: 4.821 5.987 6.067 Å, 85.52 84.61 84.37°
Atoms (fractional coordinates):
Zn: 0.000 0.000 0.000
Zn: 0.004 0.340 0.675
Zn: 0.249 0.914 0.579
Zn: 0.259 0.265 0.238
Zn: 0.500 0.192 0.824
Zn: 0.500 0.808 0.176
Zn: 0.741 0.735 0.762
Zn: 0.751 0.086 0.421
Zn: 0.996 0.660 0.325
Cu: 0.500 0.500 0.500
Rh: 0.244 0.610 0.903
Rh: 0.756 0.390 0.097

Calculated values
calculated total energy	-2.69	eV/atom
calculated volume	173.1	Å³ per cell
space-group type	P-1, No. 2
calculated density	8232	kg/m³

=====

19.
BaLiSiN2 | GGA-PBE | relaxed

Cell: 6.461 6.461 5.329 Å, 90.00 90.00 135.93°
Atoms (fractional coordinates):
Ba: 0.250 0.750 0.762
Ba: 0.750 0.250 0.238
Li: 0.000 0.000 0.500
Li: 0.500 0.500 0.500
Si: 0.250 0.250 0.000
Si: 0.750 0.750 0.000
N: 0.078 0.922 0.173
N: 0.422 0.578 0.173
N: 0.578 0.422 0.827
N: 0.922 0.078 0.827

Calculated values
calculated volume	154.7	Å³ per cell
space-group type	Cmme, No. 67
E_form (uncorrected)	-568	meV per atom
calculated density	4301	kg/m³

=====

20.
TaP | GGA-PBE | relaxed

Cell: 3.564 10.806 6.177 Å, 90.00 90.00 90.00°
Atoms (fractional coordinates):
Ta: 0.000 0.000 0.000
Ta: 0.000 0.500 0.500
Ta: 0.500 0.208 0.948
Ta: 0.500 0.292 0.448
Ta: 0.500 0.708 0.448
Ta: 0.500 0.792 0.948
P: 0.000 0.175 0.247
P: 0.000 0.325 0.747
P: 0.000 0.675 0.747
P: 0.000 0.825 0.247
P: 0.500 0.000 0.725
P: 0.500 0.500 0.225

Calculated values
calculated total energy	-8.96	eV/atom
calculated volume	237.9	Å³ per cell
space-group type	Amm2, No. 38
calculated density	8874	kg/m³

=====

21.
PuMnTe2 | GGA-PBE | relaxed

Cell: 3.774 3.774 28.751 Å, 90.00 90.00 120.00°
Atoms (fractional coordinates):
Pu: 0.000 0.000 0.000
Pu: 0.333 0.667 0.667
Pu: 0.667 0.333 0.333
Mn: 0.000 0.000 0.500
Mn: 0.333 0.667 0.167
Mn: 0.667 0.333 0.833
Te: 0.000 0.000 0.110
Te: 0.000 0.000 0.890
Te: 0.333 0.667 0.557
Te: 0.333 0.667 0.777
Te: 0.667 0.333 0.223
Te: 0.667 0.333 0.443

Calculated values
calculated volume	354.6	Å³ per cell
space-group type	R-3m, No. 166
E_form (uncorrected)	-23	meV per atom
calculated density	7785	kg/m³

=====

22.
Ni2IrOs | GGA-PBE | relaxed

Cell: 3.738 3.738 7.290 Å, 90.00 90.00 90.00°
Atoms (fractional coordinates):
Ni: 0.000 0.500 0.250
Ni: 0.000 0.500 0.750
Ni: 0.500 0.000 0.250
Ni: 0.500 0.000 0.750
Ir: 0.000 0.000 0.000
Ir: 0.500 0.500 0.500
Os: 0.000 0.000 0.500
Os: 0.500 0.500 0.000

Calculated values
calculated volume	101.9	Å³ per cell
energy above the most stable polymorph in this dataset	0.116	eV per atom
space-group type	I4/mmm, No. 139
calculated density	16296	kg/m³

=====

23.
LiMgCuRh | GGA-PBE | relaxed

Cell: 3.296 4.065 4.238 Å, 90.00 90.00 90.00°
Atoms (fractional coordinates):
Li: 0.000 0.000 0.000
Mg: 0.500 0.000 0.500
Cu: 0.500 0.500 0.000
Rh: 0.000 0.500 0.500

Calculated values
calculated total energy	-3.98	eV/atom
calculated volume	56.8	Å³ per cell
space-group type	Pmmm, No. 47
calculated density	5780	kg/m³

=====

24.
Li2ErAlSi2 | GGA-PBE | relaxed

Cell: 4.107 7.836 6.954 Å, 90.00 90.00 90.00°
Atoms (fractional coordinates):
Li: 0.000 0.078 0.000
Li: 0.000 0.922 0.500
Li: 0.500 0.170 0.325
Li: 0.500 0.830 0.825
Er: 0.500 0.432 0.953
Er: 0.500 0.568 0.453
Al: 0.000 0.307 0.615
Al: 0.000 0.693 0.115
Si: 0.000 0.374 0.243
Si: 0.000 0.626 0.743
Si: 0.500 0.145 0.703
Si: 0.500 0.855 0.203

Calculated values
calculated volume	223.8	Å³ per cell
space-group type	Pmc2_1, No. 26
E_form (uncorrected)	-422	meV per atom
calculated density	3922	kg/m³